# 1
Computed, not measured: crystalline Nd2DyBi at its relaxed geometry at the PBE-GGA level of DFT.

a = 4.6802 Å, b = 23.4832 Å, c = 4.6824 Å
α = 90.00°, β = 90.00°, γ = 90.00°
With the nearest neighbours (Å) after each atom.
Positions (direct):
Nd 0.0000 0.0615 0.2500  4 Nd 3.31, 2 Bi 3.52
Nd 0.0000 0.4338 0.2500  4 Nd 3.31, 2 Bi 3.44
Nd 0.0000 0.5662 0.7500  4 Nd 3.31, 2 Bi 3.44
Nd 0.0000 0.9385 0.7500  4 Nd 3.31, 2 Bi 3.52
Nd 0.5000 0.0662 0.7500  4 Nd 3.31, 2 Bi 3.44
Nd 0.5000 0.4385 0.7500  4 Nd 3.31, 2 Bi 3.52
Nd 0.5000 0.5615 0.2500  4 Nd 3.31, 2 Bi 3.52
Nd 0.5000 0.9338 0.2500  4 Nd 3.31, 2 Bi 3.44
Dy 0.0000 0.3077 0.7500  5 Bi 3.15-3.34
Dy 0.0000 0.6923 0.2500  5 Bi 3.15-3.34
Dy 0.5000 0.1923 0.2500  5 Bi 3.15-3.34
Dy 0.5000 0.8077 0.7500  5 Bi 3.15-3.34
Bi 0.0000 0.1736 0.7500  5 Dy 3.15-3.34, 4 Nd 3.44-3.52
Bi 0.0000 0.8264 0.2500  5 Dy 3.15-3.34, 4 Nd 3.44-3.52
Bi 0.5000 0.3264 0.2500  5 Dy 3.15-3.34, 4 Nd 3.44-3.52
Bi 0.5000 0.6736 0.7500  5 Dy 3.15-3.34, 4 Nd 3.44-3.52

Results
DFT formation energy ... -399 meV per atom
E above lowest polymorph ... 0.001 eV per atom
Symmetry ... Cmcm, No. 63
Energy ... -19.6 eV/f.u.

---

# 2
Computed, not measured: crystalline Nd3DyBi4 at its relaxed geometry at the PBE-GGA level of DFT.

a = 6.4706 Å, b = 6.4706 Å, c = 6.4706 Å
α = 90.00°, β = 90.00°, γ = 90.00°
With the nearest neighbours (Å) after each atom.
Positions (direct):
Nd 0.0000 0.0000 0.5000  6 Bi 3.24
Nd 0.0000 0.5000 0.0000  6 Bi 3.24
Nd 0.5000 0.0000 0.0000  6 Bi 3.24
Dy 0.5000 0.5000 0.5000  6 Bi 3.24
Bi 0.0000 0.0000 0.0000  6 Nd 3.24
Bi 0.0000 0.5000 0.5000  2 Dy 3.24, 4 Nd 3.24
Bi 0.5000 0.0000 0.5000  2 Dy 3.24, 4 Nd 3.24
Bi 0.5000 0.5000 0.0000  2 Dy 3.24, 4 Nd 3.24

Results
DFT formation energy ... -925 meV per atom
Symmetry ... Pm-3m, No. 221
Energy ... -41.8 eV/f.u.

---

# 3
Computed, not measured: crystalline Nd5DyBi5 at its relaxed geometry at the PBE-GGA level of DFT.

a = 7.8617 Å, b = 7.8617 Å, c = 9.0703 Å
α = 106.98°, β = 106.98°, γ = 48.35°
With the nearest neighbours (Å) after each atom.
Positions (direct):
Nd 0.0000 0.0000 0.0000  4 Bi 3.20-3.22
Nd 0.3306 0.3306 0.1660  5 Bi 3.21-3.22
Nd 0.3367 0.3367 0.6716  5 Bi 3.20-3.23
Nd 0.6633 0.6633 0.3284  5 Bi 3.20-3.23
Nd 0.6694 0.6694 0.8340  5 Bi 3.21-3.22
Dy 0.0000 0.0000 0.5000  6 Bi 3.16-3.22
Bi 0.1644 0.1644 0.8301  1 Dy 3.16, 5 Nd 3.20-3.23
Bi 0.1665 0.1665 0.3367  1 Dy 3.19, 5 Nd 3.21-3.23
Bi 0.5000 0.5000 0.5000  4 Nd 3.20-3.22, 2 Dy 3.22
Bi 0.8335 0.8335 0.6633  1 Dy 3.19, 5 Nd 3.21-3.23
Bi 0.8356 0.8356 0.1699  1 Dy 3.16, 5 Nd 3.20-3.23

Results
DFT formation energy ... -747 meV per atom
Symmetry ... C2/m, No. 12
Energy ... -56.1 eV/f.u.

---

# 4
Computed, not measured: crystalline NdDyBi2 at its relaxed geometry at the PBE-GGA level of DFT.

a = 4.5331 Å, b = 4.5331 Å, c = 15.0205 Å
α = 90.00°, β = 90.00°, γ = 120.00°
With the nearest neighbours (Å) after each atom.
Positions (direct):
Nd 0.0000 0.0000 0.0000  6 Bi 3.23
Nd 0.0000 0.0000 0.5000  6 Bi 3.23
Dy 0.3333 0.6667 0.2500  6 Bi 3.21
Dy 0.6667 0.3333 0.7500  6 Bi 3.21
Bi 0.3333 0.6667 0.6266  3 Dy 3.21, 3 Nd 3.23
Bi 0.3333 0.6667 0.8734  3 Dy 3.21, 3 Nd 3.23
Bi 0.6667 0.3333 0.1266  3 Dy 3.21, 3 Nd 3.23
Bi 0.6667 0.3333 0.3734  3 Dy 3.21, 3 Nd 3.23

Results
DFT formation energy ... -829 meV per atom
E above lowest polymorph ... 0.073 eV per atom
Symmetry ... P6_3/mmc, No. 194
Energy ... -20.4 eV/f.u.

---

What is the energy in the first record?
-19.6 eV/f.u.